VASP calculation (GGA-PBE) on AcGa2SbO8 after structural relaxation.

Computed properties:
- raw formation energy (eV/atom) = -1.52
- crystal system = tetragonal
- space group = I-4m2 (119)
- raw total energy (eV per atom) = -6.020

a = 5.9586 Å, b = 5.9586 Å, c = 5.9586 Å
α = 109.47°, β = 109.47°, γ = 109.47°
With the nearest neighbours (Å) after each atom.
Positions (direct):
O1 0.8904 0.6864 0.2041  1 Ga 1.90, 1 Sb 2.08
Ga1 0.7500 0.2500 0.5000  4 O 1.83
Ga2 0.5000 0.5000 0.0000  4 O 1.90
Ac1 0.0000 0.0000 0.0000  8 O 2.33-2.57
O2 0.9604 0.2971 0.3366  1 Ga 1.83
O3 0.3762 0.0396 0.3366  1 Ga 1.83
O4 0.4823 0.6864 0.7959  1 Ga 1.90, 1 Sb 2.08
Sb1 0.2500 0.7500 0.5000  8 O 2.08-2.29
O5 0.3136 0.5177 0.2041  1 Ga 1.90, 1 Sb 2.08
O6 0.9604 0.6238 0.6634  1 Ga 1.83
O7 0.3136 0.1096 0.7959  1 Ga 1.90, 1 Sb 2.08
O8 0.7029 0.0396 0.6634  1 Ga 1.83